A plane-wave DFT calculation with PBE was carried out for a relaxed structure of HfGa2Fe2.

a b c (Å): 3.6885 3.6885 6.1520
angles (deg): 72.56 72.56 90.00
Site moments in Bohr magnetons follow the coordinates.
Sites, in units of the cell vectors:
Hf1 0.0000 0.0000 0.0000  -0.07
Fe1 0.7500 0.2500 0.5000  2.16
Fe2 0.2500 0.7500 0.5000  2.16
Ga1 0.3917 0.3917 0.2165  -0.06
Ga2 0.6083 0.6083 0.7835  -0.06

Calculated values
* total energy: -6.780 eV/atom
* magnetization: 4.100 μB/f.u.



A plane-wave DFT calculation with PBE was carried out for a relaxed structure of HfGa2Fe.

a b c (Å): 4.3684 4.3684 4.3684
angles (deg): 60.00 60.00 60.00
Sites, in units of the cell vectors:
Hf1 0.5000 0.5000 0.5000
Fe1 0.0000 0.0000 0.0000
Ga1 0.2500 0.2500 0.2500
Ga2 0.7500 0.7500 0.7500

Calculated values
* total energy: -6.207 eV/atom
* magnetization: 0.000 μB/f.u.



A plane-wave DFT calculation with PBE was carried out for a relaxed structure of Hf4GaFe.

a b c (Å): 5.5772 6.4406 6.4406
angles (deg): 90.00 90.00 90.00
Sites, in units of the cell vectors:
Hf1 0.0000 0.1863 0.6543
Hf2 0.0000 0.8137 0.3457
Hf3 0.0000 0.3457 0.1863
Hf4 0.0000 0.6543 0.8137
Hf5 0.5000 0.8137 0.6543
Hf6 0.5000 0.1863 0.3457
Hf7 0.5000 0.6543 0.1863
Hf8 0.5000 0.3457 0.8137
Ga1 0.2500 0.0000 0.0000
Ga2 0.7500 0.0000 0.0000
Fe1 0.2500 0.5000 0.5000
Fe2 0.7500 0.5000 0.5000

Calculated values
* total energy: -8.843 eV/atom
* magnetization: 0.000 μB/f.u.



A plane-wave DFT calculation with PBE was carried out for a relaxed structure of La2HfGaFe.

a b c (Å): 5.5898 5.0470 5.5898
angles (deg): 90.00 90.00 90.00
Site moments in Bohr magnetons follow the coordinates.
Sites, in units of the cell vectors:
Hf1 0.0000 0.0000 0.0000  -0.02
Fe1 0.5000 0.5000 0.5000  0.10
Ga1 0.0000 0.5000 0.0000  -0.01
La1 0.0000 0.0000 0.5000  -0.03
La2 0.5000 0.0000 0.0000  -0.03

Calculated values
* total energy: -5.036 eV/atom
* magnetization: 0.144 μB/f.u.



A plane-wave DFT calculation with PBE was carried out for a relaxed structure of LiHfGaFe.

a b c (Å): 4.3165 4.3165 4.3165
angles (deg): 60.00 60.00 60.00
Sites, in units of the cell vectors:
Hf1 0.7500 0.7500 0.7500
Fe1 0.5000 0.5000 0.5000
Ga1 0.2500 0.2500 0.2500
Li1 0.0000 0.0000 0.0000

Calculated values
* total energy: -6.000 eV/atom
* magnetization: 0.003 μB/f.u.



A plane-wave DFT calculation with PBE was carried out for a relaxed structure of Hf2Mn2GaFe5.

a b c (Å): 3.5751 8.7436 8.7436
angles (deg): 90.00 90.00 90.00
Site moments in Bohr magnetons follow the coordinates.
Sites, in units of the cell vectors:
Hf1 0.0000 0.6814 0.1814  -0.21
Hf2 0.0000 0.3186 0.8186  -0.21
Hf3 0.0000 0.1814 0.3186  -0.21
Hf4 0.0000 0.8186 0.6814  -0.21
Mn1 0.0000 0.1139 0.6139  1.36
Mn2 0.0000 0.8861 0.3861  1.36
Mn3 0.0000 0.6139 0.8861  1.36
Mn4 0.0000 0.3861 0.1139  1.36
Ga1 0.0000 0.0000 0.0000  -0.04
Ga2 0.0000 0.5000 0.5000  -0.04
Fe1 0.5000 0.2068 0.0602  1.83
Fe2 0.5000 0.7932 0.9398  1.83
Fe3 0.5000 0.0602 0.7932  1.83
Fe4 0.5000 0.7068 0.4398  1.83
Fe5 0.5000 0.9398 0.2068  1.83
Fe6 0.5000 0.2932 0.5602  1.83
Fe7 0.5000 0.5602 0.7068  1.83
Fe8 0.5000 0.4398 0.2932  1.83
Fe9 0.5000 0.5000 0.0000  -0.37
Fe10 0.5000 0.0000 0.5000  -0.37

Calculated values
* total energy: -8.365 eV/atom
* magnetization: 9.102 μB/f.u.



Q: Look up the magnetization of the third one.
A: 0.000 μB/f.u.



Q: The highest total energy belongs to which entry?
A: La2HfGaFe